Record 1
# Mg2PbAu, relaxed, DFT PBEsol
data_Mg2PbAu
_cell_length_a 4.4668
_cell_length_b 4.4668
_cell_length_c 4.1375
_cell_angle_alpha 90.00
_cell_angle_beta 90.00
_cell_angle_gamma 90.00
_space_group_name_H-M_alt 'P 4/m m m'
_space_group_IT_number 123
_space_group_name_Hall '-P 4 2'
loop_
_atom_site_label
_atom_site_type_symbol
_atom_site_fract_x
_atom_site_fract_y
_atom_site_fract_z
Mg1 Mg 0.0000 0.5000 0.0000
Pb1 Pb 0.0000 0.0000 0.5000
Au1 Au 0.5000 0.5000 0.5000
# Energy of formation   -0.984 eV/f.u.
# V   83 Å³ per cell



Record 2
# MgPbAu, relaxed, DFT PBEsol
data_MgPbAu
_cell_length_a 4.6131
_cell_length_b 4.6131
_cell_length_c 3.6883
_cell_angle_alpha 90.00
_cell_angle_beta 90.00
_cell_angle_gamma 120.00
_space_group_name_H-M_alt 'P 3 m 1'
_space_group_IT_number 156
_space_group_name_Hall 'P 3 -2"'
loop_
_atom_site_label
_atom_site_type_symbol
_atom_site_fract_x
_atom_site_fract_y
_atom_site_fract_z
Mg1 Mg 0.0000 0.0000 0.0000
Pb1 Pb 0.3333 0.6667 0.4797
Au1 Au 0.6667 0.3333 0.9117
# Energy of formation   -0.457 eV/f.u.
# V   68 Å³ per cell



Record 3
# MgPdPbAu2, relaxed, DFT PBEsol
data_MgPdPbAu2
_cell_length_a 5.1445
_cell_length_b 5.1445
_cell_length_c 5.0488
_cell_angle_alpha 90.00
_cell_angle_beta 90.00
_cell_angle_gamma 90.00
_space_group_name_H-M_alt 'P 4/m m m'
_space_group_IT_number 123
_space_group_name_Hall '-P 4 2'
loop_
_atom_site_label
_atom_site_type_symbol
_atom_site_fract_x
_atom_site_fract_y
_atom_site_fract_z
Mg1 Mg 0.0000 0.0000 0.0000
Pd1 Pd 0.5000 0.5000 0.0000
Pb1 Pb 0.5000 0.5000 0.5000
Au1 Au 0.0000 0.5000 0.5000
# Energy of formation   3.171 eV/f.u.
# V   134 Å³ per cell



Record 4
# Mg2Pd2Au, relaxed, DFT PBEsol
data_Mg2Pd2Au
_cell_length_a 3.6249
_cell_length_b 3.6249
_cell_length_c 13.7721
_cell_angle_alpha 90.00
_cell_angle_beta 90.00
_cell_angle_gamma 90.00
_space_group_name_H-M_alt 'I 4/m m m'
_space_group_IT_number 139
_space_group_name_Hall '-I 4 2'
loop_
_atom_site_label
_atom_site_type_symbol
_atom_site_fract_x
_atom_site_fract_y
_atom_site_fract_z
Mg1 Mg 0.0000 0.0000 0.1051
Pd1 Pd 0.0000 0.5000 0.2500
Au1 Au 0.0000 0.0000 0.5000
# Energy of formation   -1.251 eV/f.u.
# V   181 Å³ per cell



Record 5
# Mg2Pd2Au, relaxed, DFT PBEsol
data_Mg2Pd2Au
_cell_length_a 7.2442
_cell_length_b 7.2442
_cell_length_c 3.1421
_cell_angle_alpha 90.00
_cell_angle_beta 90.00
_cell_angle_gamma 90.00
_space_group_name_H-M_alt 'P 4/m b m'
_space_group_IT_number 127
_space_group_name_Hall '-P 4 2ab'
loop_
_atom_site_label
_atom_site_type_symbol
_atom_site_fract_x
_atom_site_fract_y
_atom_site_fract_z
Mg1 Mg 0.1658 0.3342 0.0000
Pd1 Pd 0.1336 0.6336 0.5000
Au1 Au 0.0000 0.0000 0.5000
# Energy of formation   -2.566 eV/f.u.
# V   165 Å³ per cell



Record 6
# Mg3PdAu, relaxed, DFT PBEsol
data_Mg3PdAu
_cell_length_a 4.9208
_cell_length_b 4.9208
_cell_length_c 4.9208
_cell_angle_alpha 90.00
_cell_angle_beta 90.00
_cell_angle_gamma 90.00
_space_group_name_H-M_alt 'P m -3 m'
_space_group_IT_number 221
_space_group_name_Hall '-P 4 2 3'
loop_
_atom_site_label
_atom_site_type_symbol
_atom_site_fract_x
_atom_site_fract_y
_atom_site_fract_z
Mg1 Mg 0.0000 0.0000 0.5000
Pd1 Pd 0.5000 0.5000 0.5000
Au1 Au 0.0000 0.0000 0.0000
# Energy of formation   0.683 eV/f.u.
# V   119 Å³ per cell



Record 7
# MgRe2PdAu, relaxed, DFT PBEsol
data_MgRe2PdAu
_cell_length_a 4.6616
_cell_length_b 4.6616
_cell_length_c 4.5993
_cell_angle_alpha 90.00
_cell_angle_beta 90.00
_cell_angle_gamma 90.00
_space_group_name_H-M_alt 'P 4/m m m'
_space_group_IT_number 123
_space_group_name_Hall '-P 4 2'
loop_
_atom_site_label
_atom_site_type_symbol
_atom_site_fract_x
_atom_site_fract_y
_atom_site_fract_z
Mg1 Mg 0.0000 0.0000 0.0000
Re1 Re 0.0000 0.5000 0.5000
Pd1 Pd 0.0000 0.0000 0.5000
Au1 Au 0.5000 0.5000 0.0000
# Energy of formation   9.235 eV/f.u.
# V   100 Å³ per cell



Record 8
# MgPdRhAu2, relaxed, DFT PBEsol
data_MgPdRhAu2
_cell_length_a 4.9430
_cell_length_b 4.9430
_cell_length_c 4.6622
_cell_angle_alpha 90.00
_cell_angle_beta 90.00
_cell_angle_gamma 90.00
_space_group_name_H-M_alt 'P 4/m m m'
_space_group_IT_number 123
_space_group_name_Hall '-P 4 2'
loop_
_atom_site_label
_atom_site_type_symbol
_atom_site_fract_x
_atom_site_fract_y
_atom_site_fract_z
Mg1 Mg 0.0000 0.0000 0.0000
Pd1 Pd 0.5000 0.5000 0.0000
Rh1 Rh 0.5000 0.5000 0.5000
Au1 Au 0.0000 0.5000 0.5000
# Energy of formation   3.990 eV/f.u.
# V   114 Å³ per cell



Record 9
# PmMgAu2, relaxed, DFT PBEsol
data_PmMgAu2
_cell_length_a 6.9484
_cell_length_b 6.9484
_cell_length_c 6.9484
_cell_angle_alpha 90.00
_cell_angle_beta 90.00
_cell_angle_gamma 90.00
_space_group_name_H-M_alt 'F m -3 m'
_space_group_IT_number 225
_space_group_name_Hall '-F 4 2 3'
loop_
_atom_site_label
_atom_site_type_symbol
_atom_site_fract_x
_atom_site_fract_y
_atom_site_fract_z
Pm1 Pm 0.0000 0.0000 0.0000
Mg1 Mg 0.0000 0.0000 0.5000
Au1 Au 0.2500 0.2500 0.2500
# Energy of formation   -2.923 eV/f.u.
# V   335 Å³ per cell



Record 10
# Mg2PtAu, relaxed, DFT PBEsol
data_Mg2PtAu
_cell_length_a 9.7674
_cell_length_b 2.9350
_cell_length_c 4.7500
_cell_angle_alpha 90.00
_cell_angle_beta 102.28
_cell_angle_gamma 90.00
_space_group_name_H-M_alt 'C 1 m 1'
_space_group_IT_number 8
_space_group_name_Hall 'C -2y'
loop_
_atom_site_label
_atom_site_type_symbol
_atom_site_fract_x
_atom_site_fract_y
_atom_site_fract_z
Mg1 Mg 0.0000 0.0000 0.0000
Mg2 Mg 0.2211 0.0000 0.6419
Pt1 Pt 0.4827 0.0000 0.4985
Au1 Au 0.2455 0.5000 0.1574
# Energy of formation   -2.425 eV/f.u.
# V   133 Å³ per cell



Record 11
# Mg2PtAu, relaxed, DFT PBEsol
data_Mg2PtAu
_cell_length_a 6.4317
_cell_length_b 6.4317
_cell_length_c 6.4317
_cell_angle_alpha 90.00
_cell_angle_beta 90.00
_cell_angle_gamma 90.00
_space_group_name_H-M_alt 'F -4 3 m'
_space_group_IT_number 216
_space_group_name_Hall 'F -4 2 3'
loop_
_atom_site_label
_atom_site_type_symbol
_atom_site_fract_x
_atom_site_fract_y
_atom_site_fract_z
Mg1 Mg 0.0000 0.0000 0.0000
Mg2 Mg 0.2500 0.2500 0.2500
Pt1 Pt 0.2500 0.2500 0.7500
Au1 Au 0.0000 0.0000 0.5000
# Energy of formation   -2.005 eV/f.u.
# V   266 Å³ per cell



Record 12
# MgPtAu2, relaxed, DFT PBEsol
data_MgPtAu2
_cell_length_a 2.9227
_cell_length_b 3.9263
_cell_length_c 5.6783
_cell_angle_alpha 90.00
_cell_angle_beta 90.00
_cell_angle_gamma 90.00
_space_group_name_H-M_alt 'P m m 2'
_space_group_IT_number 25
_space_group_name_Hall 'P 2 -2'
loop_
_atom_site_label
_atom_site_type_symbol
_atom_site_fract_x
_atom_site_fract_y
_atom_site_fract_z
Mg1 Mg 0.0000 0.0000 0.0000
Pt1 Pt 0.5000 0.5000 0.2300
Au1 Au 0.0000 0.0000 0.4866
Au2 Au 0.5000 0.5000 0.7407
# Energy of formation   -1.618 eV/f.u.
# V   65 Å³ per cell



Record 13
# MgPtAu2, relaxed, DFT PBEsol
data_MgPtAu2
_cell_length_a 3.9859
_cell_length_b 3.9859
_cell_length_c 8.1919
_cell_angle_alpha 90.00
_cell_angle_beta 90.00
_cell_angle_gamma 90.00
_space_group_name_H-M_alt 'I 4/m m m'
_space_group_IT_number 139
_space_group_name_Hall '-I 4 2'
loop_
_atom_site_label
_atom_site_type_symbol
_atom_site_fract_x
_atom_site_fract_y
_atom_site_fract_z
Mg1 Mg 0.0000 0.0000 0.0000
Pt1 Pt 0.0000 0.0000 0.5000
Au1 Au 0.0000 0.5000 0.2500
# Energy of formation   -1.688 eV/f.u.
# V   130 Å³ per cell



Record 14
# MgPtAu2, relaxed, DFT PBEsol
data_MgPtAu2
_cell_length_a 9.4838
_cell_length_b 2.9335
_cell_length_c 4.7981
_cell_angle_alpha 90.00
_cell_angle_beta 101.40
_cell_angle_gamma 90.00
_space_group_name_H-M_alt 'C 1 2/m 1'
_space_group_IT_number 12
_space_group_name_Hall '-C 2y'
loop_
_atom_site_label
_atom_site_type_symbol
_atom_site_fract_x
_atom_site_fract_y
_atom_site_fract_z
Mg1 Mg 0.0000 0.0000 0.0000
Pt1 Pt 0.0000 0.5000 0.5000
Au1 Au 0.2495 0.0000 0.7495
# Energy of formation   -1.439 eV/f.u.
# V   131 Å³ per cell



Record 15
# MgPtAu2, relaxed, DFT PBEsol
data_MgPtAu2
_cell_length_a 4.0103
_cell_length_b 4.0103
_cell_length_c 8.0693
_cell_angle_alpha 90.00
_cell_angle_beta 90.00
_cell_angle_gamma 90.00
_space_group_name_H-M_alt 'I -4 m 2'
_space_group_IT_number 119
_space_group_name_Hall 'I -4 -2'
loop_
_atom_site_label
_atom_site_type_symbol
_atom_site_fract_x
_atom_site_fract_y
_atom_site_fract_z
Mg1 Mg 0.0000 0.0000 0.0000
Pt1 Pt 0.0000 0.5000 0.7500
Au1 Au 0.0000 0.0000 0.5000
Au2 Au 0.0000 0.5000 0.2500
# Energy of formation   -1.828 eV/f.u.
# V   130 Å³ per cell